Entry from the Alexandria database: LiV2TcO8 after structural relaxation (GGA+U).

Computed properties:
* magnetization: 1.991 Bohr magnetons per cell
* final energy: -86.29 eV/f.u.
* V: 13.180 Å³ per atom

abc: 5.784 5.784 5.459
angles: 90.00 90.00 120.00
Fractional coordinates of all 12 atoms:
Li (0.000, 0.000, 0.000)
V (0.333, 0.667, 0.643)
V (0.667, 0.333, 0.357)
Tc (0.000, 0.000, 0.500)
O (0.157, 0.313, 0.719)
O (0.157, 0.843, 0.719)
O (0.313, 0.157, 0.281)
O (0.333, 0.667, 0.347)
O (0.667, 0.333, 0.653)
O (0.687, 0.843, 0.719)
O (0.843, 0.157, 0.281)
O (0.843, 0.687, 0.281)